Record 1
! GGA-PBE MnPt2Rh, optimized geometry; values from VASP
! Magnetic moment in μB/cell: 3.0
! D(E_F) in states/eV/atom: 1.469
! Energy of formation from the pure elements in eV/atom: -0.223
&SYSTEM
  ibrav = 0, nat = 4, ntyp = 3
/
ATOMIC_SPECIES
Mn 54.94 Mn.upf
Pt 195.08 Pt.upf
Rh 102.91 Rh.upf
ATOMIC_POSITIONS angstrom
Mn 2.379 -0.011 1.380
Pt 0.000 0.000 0.000
Pt 0.789 2.245 1.380
Rh 3.169 2.234 0.000
CELL_PARAMETERS angstrom
4.759 -0.022 0.000
1.579 4.489 0.000
-3.169 -2.234 2.759

Record 2
! GGA-PBE BaAgSe, optimized geometry; values from VASP
! Formation energy (no corrections) in eV per atom: -1.022
! Magnetic moment in μB/cell: 0.0
! D(E_F) in states/eV/atom: 0.116
&SYSTEM
  ibrav = 0, nat = 6, ntyp = 3
/
ATOMIC_SPECIES
Ba 137.33 Ba.upf
Ag 107.87 Ag.upf
Se 78.96 Se.upf
ATOMIC_POSITIONS angstrom
Ba -2.013 3.247 1.240
Ba 3.084 1.317 4.157
Ag 3.155 2.559 7.902
Ag 4.237 4.576 6.001
Se 1.067 2.105 1.611
Se 1.458 3.597 5.799
CELL_PARAMETERS angstrom
-1.242 3.754 -1.225
-3.389 -0.273 2.601
6.142 2.453 8.260

Record 3
! GGA-PBE NaCaNO2, optimized geometry; values from VASP
! Formation energy (no corrections) in eV per atom: 0.022
! Magnetic moment in μB/cell: 4.0
! D(E_F) in states/eV/atom: 0.305
&SYSTEM
  ibrav = 0, nat = 5, ntyp = 4
/
ATOMIC_SPECIES
Na 22.99 Na.upf
Ca 40.08 Ca.upf
O 16.00 O.upf
N 14.01 N.upf
ATOMIC_POSITIONS angstrom
Na 0.000 0.000 0.000
Ca 2.100 2.100 2.086
O 0.000 2.100 0.000
O 2.100 0.000 0.000
N 0.000 0.000 2.086
CELL_PARAMETERS angstrom
4.201 0.000 0.000
0.000 4.201 0.000
0.000 0.000 4.172